No. 1
# NdAg5Au7 (GGA-PBE, relaxed)
data_NdAg5Au7
_chemical_formula_sum 'Nd2 Ag10 Au14'
_cell_length_a 5.603
_cell_length_b 9.599
_cell_length_c 9.482
_cell_angle_alpha 90.00
_cell_angle_beta 90.00
_cell_angle_gamma 90.00
_symmetry_space_group_name_H-M 'I m m 2'
_symmetry_Int_Tables_number 44
loop_
_symmetry_equiv_pos_as_xyz
'x,y,z'
'-x,-y,z'
'-x,y,z'
'x,-y,z'
'x+1/2,y+1/2,z+1/2'
'-x+1/2,-y+1/2,z+1/2'
'-x+1/2,y+1/2,z+1/2'
'x+1/2,-y+1/2,z+1/2'
loop_
_atom_site_label
_atom_site_fract_x
_atom_site_fract_y
_atom_site_fract_z
_atom_site_occupancy
Nd1 0.000 0.000 0.000 1
Ag1 0.000 0.500 0.260 1
Ag2 0.249 0.250 0.239 1
Au1 0.000 0.000 0.342 1
Au2 0.000 0.000 0.654 1
Au3 0.000 0.300 0.489 1
Au4 0.000 0.344 0.989 1
Au5 0.000 0.500 0.713 1
# energy of formation = -0.16 eV/atom
# volume = 19.61 Å³ per atom

=====

No. 2
# Nd8AgAu2 (GGA-PBE, relaxed)
data_Nd8AgAu2
_chemical_formula_sum 'Nd16 Ag2 Au4'
_cell_length_a 18.831
_cell_length_b 5.263
_cell_length_c 7.086
_cell_angle_alpha 90.00
_cell_angle_beta 107.42
_cell_angle_gamma 90.00
_symmetry_space_group_name_H-M 'C 1 2/m 1'
_symmetry_Int_Tables_number 12
loop_
_symmetry_equiv_pos_as_xyz
'x,y,z'
'-x,-y,-z'
'-x,y,-z'
'x,-y,z'
'x+1/2,y+1/2,z'
'-x+1/2,-y+1/2,-z'
'-x+1/2,y+1/2,-z'
'x+1/2,-y+1/2,z'
loop_
_atom_site_label
_atom_site_fract_x
_atom_site_fract_y
_atom_site_fract_z
_atom_site_occupancy
Nd1 0.025 0.000 0.275 1
Nd2 0.091 0.500 0.970 1
Nd3 0.170 0.500 0.493 1
Nd4 0.200 0.000 0.839 1
Ag1 0.000 0.500 0.500 1
Au1 0.177 0.000 0.239 1
# energy of formation = -0.31 eV/atom
# volume = 30.45 Å³ per atom
# excess energy over the best structure of this formula in the dataset = 0.000 eV/f.u.

=====

No. 3
# NdAgAu2 (GGA-PBE, relaxed)
data_NdAgAu2
_chemical_formula_sum 'Nd4 Ag4 Au8'
_cell_length_a 7.070
_cell_length_b 7.070
_cell_length_c 7.070
_cell_angle_alpha 90.00
_cell_angle_beta 90.00
_cell_angle_gamma 90.00
_symmetry_space_group_name_H-M 'F m -3 m'
_symmetry_Int_Tables_number 225
_symmetry_space_group_name_Hall '-F 4 2 3'
loop_
_atom_site_label
_atom_site_fract_x
_atom_site_fract_y
_atom_site_fract_z
_atom_site_occupancy
Nd1 0.000 0.000 0.000 1
Ag1 0.000 0.000 0.500 1
Au1 0.250 0.250 0.250 1
# energy of formation = -0.56 eV/atom
# volume = 22.09 Å³ per atom
# excess energy over the best structure of this formula in the dataset = 0.000 eV/f.u.

=====

No. 4
# Nd3Ag4Au2 (GGA-PBE, relaxed)
data_Nd3Ag4Au2
_chemical_formula_sum 'Nd6 Ag8 Au4'
_cell_length_a 10.917
_cell_length_b 4.798
_cell_length_c 9.091
_cell_angle_alpha 90.00
_cell_angle_beta 116.99
_cell_angle_gamma 90.00
_symmetry_space_group_name_H-M 'C 1 2/m 1'
_symmetry_Int_Tables_number 12
loop_
_symmetry_equiv_pos_as_xyz
'x,y,z'
'-x,-y,-z'
'-x,y,-z'
'x,-y,z'
'x+1/2,y+1/2,z'
'-x+1/2,-y+1/2,-z'
'-x+1/2,y+1/2,-z'
'x+1/2,-y+1/2,z'
loop_
_atom_site_label
_atom_site_fract_x
_atom_site_fract_y
_atom_site_fract_z
_atom_site_occupancy
Nd1 0.000 0.000 0.000 1
Nd2 0.178 0.500 0.649 1
Ag1 0.027 0.000 0.367 1
Ag2 0.225 0.500 0.059 1
Au1 0.096 0.500 0.266 1
# energy of formation = -0.44 eV/atom
# volume = 23.58 Å³ per atom